Y2Cl: relaxed, GGA-PBE.

## Properties
* formation energy without anion corrections: -0.6560 eV/atom
* total energy: -0.2051 hartree per atom
* excess energy over the best structure of this formula in the dataset: 78 kJ/mol of formula units

Cell lengths 3.3904, 16.8873, 5.9259 Å; angles 90.00, 90.00, 90.00 degrees
Last column: nearest neighbours and their distance in Å.
Space group Cmcm (No. 63)
One atom of each set of equivalent atoms:
Y 0.0000 0.0964 0.2500  2 Cl 2.89
Y 0.0000 0.2218 0.7500  10 Y 3.39-3.64, 2 Cl 3.48
Cl 0.0000 0.4578 0.2500  2 Y 2.89